Record 1
This record from Alexandria describes crystalline ZnMo2As at its relaxed geometry. The functional is PBE.

Properties
As for the crystal system: monoclinic. Its energy above the most stable polymorph in this dataset is 0.176 eV per atom. Its formation energy is 0.204 eV per atom.

Cell: 8.846 3.140 4.589 Å, 90.00 100.02 90.00°
Space group C2/m (No. 12)
Inequivalent atoms, fractional coordinates:
1 Zn 0.000 0.000 0.000 (multiplicity 2)
2 Mo 0.250 0.000 0.751 (multiplicity 4)
3 As 0.000 0.500 0.500 (multiplicity 2)

***

Record 2
This record from Alexandria describes crystalline Na3MnCl6 at its relaxed geometry. The functional is PBE.

Properties
As for the crystal system: monoclinic. The calculation puts the formation energy from raw total energies at -1.448 eV per atom.

Cell: 6.650 7.273 11.568 Å, 90.00 121.81 90.00°
Space group P2_1/c (No. 14)
Inequivalent atoms, fractional coordinates:
1 Na 0.000 0.000 0.000 (multiplicity 2)
2 Na 0.194 0.083 0.737 (multiplicity 4)
3 Mn 0.500 0.000 0.500 (multiplicity 2)
4 Cl 0.173 0.168 0.456 (multiplicity 4)
5 Cl 0.232 0.702 0.411 (multiplicity 4)
6 Cl 0.419 0.061 0.283 (multiplicity 4)

***

Record 3
This record from Alexandria describes crystalline LaPmNb2O8 at its relaxed geometry. The functional is PBE.

Properties
As for the crystal system: tetragonal. The calculation puts the formation energy from raw total energies at -3.083 eV per atom.

Cell: 5.400 5.400 11.591 Å, 90.00 90.00 90.00°
Space group I-4 (No. 82)
Inequivalent atoms, fractional coordinates:
1 La 0.000 0.000 0.000 (multiplicity 2)
2 Pm 0.000 0.500 0.750 (multiplicity 2)
3 Nb 0.000 0.000 0.500 (multiplicity 2)
4 Nb 0.000 0.500 0.250 (multiplicity 2)
5 O 0.160 0.249 0.588 (multiplicity 8)
6 O 0.168 0.747 0.165 (multiplicity 8)